This record from OQMD describes a relaxed Rb2NbInBr6 crystal. The functional is PBE-GGA.

total DFT energy (no corrections) = -3.61 eV per atom

Cell lengths 7.8149, 7.8149, 7.8149 Å; angles 64.02, 64.02, 64.02 degrees
Fractional coordinates of all 10 atoms:
Br: 0.3097 0.7916 0.1430
Br: 0.6896 0.2070 0.8570
In: 0.5002 0.5002 0.5002
Rb: 0.2478 0.2478 0.2478
Br: 0.8570 0.6896 0.2070
Rb: 0.7562 0.7562 0.7562
Br: 0.7916 0.1430 0.3097
Nb: 0.0000 0.0000 0.0000
Br: 0.2070 0.8570 0.6896
Br: 0.1430 0.3097 0.7916